(1)
Computed, not measured: a relaxed BaZn4Cu2 crystal at the GGA-PBE level of DFT.

Unit cell a=8.228 b=5.286 c=7.332 alpha=90.00 beta=107.44 gamma=90.00
Element x y z (fractional)
Ba  0.000  0.000  0.000
Ba  0.500  0.500  0.000
Zn  0.161  0.241  0.629
Zn  0.161  0.759  0.629
Zn  0.339  0.259  0.371
Zn  0.339  0.741  0.371
Zn  0.661  0.259  0.629
Zn  0.661  0.741  0.629
Zn  0.839  0.241  0.371
Zn  0.839  0.759  0.371
Cu  0.070  0.500  0.313
Cu  0.430  0.000  0.687
Cu  0.570  0.000  0.313
Cu  0.930  0.500  0.687

* E_tot: -2.21 eV/atom
* space-group type: No. 12
* E_form: -0.036 eV per atom

(2)
Computed, not measured: a relaxed BaZn9Cu4 crystal at the GGA-PBE level of DFT.

Unit cell a=8.609 b=8.609 c=8.609 alpha=119.79 beta=119.79 gamma=90.37
Element x y z (fractional)
Ba  0.250  0.250  0.000
Ba  0.750  0.750  0.000
Zn  0.000  0.500  0.500
Zn  0.061  0.561  0.251
Zn  0.066  0.798  0.864
Zn  0.190  0.939  0.500
Zn  0.202  0.066  0.268
Zn  0.298  0.566  0.864
Zn  0.310  0.810  0.749
Zn  0.434  0.298  0.732
Zn  0.439  0.690  0.500
Zn  0.500  0.000  0.500
Zn  0.561  0.310  0.500
Zn  0.566  0.702  0.268
Zn  0.690  0.190  0.251
Zn  0.702  0.434  0.136
Zn  0.798  0.934  0.732
Zn  0.810  0.061  0.500
Zn  0.934  0.202  0.136
Zn  0.939  0.439  0.749
Cu  0.065  0.214  0.500
Cu  0.214  0.714  0.149
Cu  0.286  0.435  0.500
Cu  0.435  0.935  0.149
Cu  0.565  0.065  0.851
Cu  0.714  0.565  0.500
Cu  0.786  0.286  0.851
Cu  0.935  0.786  0.500

* E_tot: -2.28 eV/atom
* space-group type: No. 140
* E_form: -0.158 eV per atom

(3)
Computed, not measured: a relaxed BaZnCu crystal at the GGA-PBE level of DFT.

Unit cell a=6.878 b=6.878 c=6.878 alpha=90.00 beta=90.00 gamma=90.00
Element x y z (fractional)
Ba  0.147  0.147  0.147
Ba  0.353  0.853  0.647
Ba  0.647  0.353  0.853
Ba  0.853  0.647  0.353
Zn  0.155  0.345  0.655
Zn  0.345  0.655  0.155
Zn  0.655  0.155  0.345
Zn  0.845  0.845  0.845
Cu  0.083  0.583  0.917
Cu  0.417  0.417  0.417
Cu  0.583  0.917  0.083
Cu  0.917  0.083  0.583

* E_tot: -2.53 eV/atom
* space-group type: No. 198
* E_form: -0.101 eV per atom

(4)
Computed, not measured: a relaxed Ba3Zn2Cu3 crystal at the GGA-PBE level of DFT.

Unit cell a=6.422 b=6.422 c=16.726 alpha=90.00 beta=90.00 gamma=138.22
Element x y z (fractional)
Ba  0.067  0.933  0.750
Ba  0.361  0.639  0.592
Ba  0.361  0.639  0.908
Ba  0.639  0.361  0.092
Ba  0.639  0.361  0.408
Ba  0.933  0.067  0.250
Zn  0.352  0.648  0.113
Zn  0.352  0.648  0.387
Zn  0.648  0.352  0.613
Zn  0.648  0.352  0.887
Cu  0.076  0.924  0.553
Cu  0.076  0.924  0.947
Cu  0.241  0.759  0.250
Cu  0.759  0.241  0.750
Cu  0.924  0.076  0.053
Cu  0.924  0.076  0.447

* E_tot: -2.65 eV/atom
* space-group type: No. 63
* E_form: -0.076 eV per atom

(5)
Computed, not measured: a relaxed Ba3Zn2Cu9 crystal at the GGA-PBE level of DFT.

Unit cell a=8.514 b=8.514 c=8.514 alpha=150.78 beta=103.12 gamma=84.27
Element x y z (fractional)
Ba  0.000  0.000  0.000
Ba  0.301  0.301  0.000
Ba  0.699  0.699  0.000
Zn  0.272  0.500  0.772
Zn  0.728  0.500  0.228
Cu  0.015  0.304  0.711
Cu  0.184  0.896  0.288
Cu  0.391  0.104  0.288
Cu  0.408  0.696  0.711
Cu  0.500  0.000  0.500
Cu  0.592  0.304  0.289
Cu  0.609  0.896  0.712
Cu  0.816  0.104  0.712
Cu  0.985  0.696  0.289

* E_tot: -3.27 eV/atom
* space-group type: No. 71
* E_form: -0.039 eV per atom

(6)
Computed, not measured: a relaxed Ba2Zn7Cu crystal at the GGA-PBE level of DFT.

Unit cell a=4.506 b=4.506 c=11.035 alpha=90.00 beta=90.00 gamma=90.00
Element x y z (fractional)
Ba  0.000  0.500  0.246
Ba  0.500  0.000  0.754
Zn  0.000  0.000  0.000
Zn  0.000  0.000  0.500
Zn  0.000  0.500  0.627
Zn  0.000  0.500  0.885
Zn  0.500  0.000  0.115
Zn  0.500  0.000  0.373
Zn  0.500  0.500  0.500
Cu  0.500  0.500  0.000

* E_tot: -1.83 eV/atom
* space-group type: No. 115
* E_form: -0.148 eV per atom

(7)
Computed, not measured: a relaxed BaZnCu crystal at the GGA-PBE level of DFT.

Unit cell a=4.526 b=4.526 c=4.595 alpha=90.00 beta=90.00 gamma=120.00
Element x y z (fractional)
Ba  0.000  0.000  0.000
Zn  0.333  0.667  0.500
Cu  0.667  0.333  0.500

* E_tot: -2.54 eV/atom
* space-group type: No. 187
* E_form: -0.105 eV per atom

(8)
Computed, not measured: a relaxed BaZr2ZnCu crystal at the GGA-PBE level of DFT.

Unit cell a=5.356 b=5.356 c=5.040 alpha=90.00 beta=90.00 gamma=90.00
Element x y z (fractional)
Ba  0.000  0.000  0.000
Zr  0.000  0.500  0.000
Zr  0.500  0.000  0.000
Zn  0.500  0.500  0.500
Cu  0.000  0.000  0.500

* E_tot: -3.06 eV/atom
* space-group type: No. 123
* E_form: 1.819 eV per atom

(9)
Computed, not measured: a relaxed BaZrCu2 crystal at the GGA-PBE level of DFT.

Unit cell a=4.792 b=5.679 c=7.181 alpha=90.00 beta=90.00 gamma=90.00
Element x y z (fractional)
Ba  0.000  0.000  0.000
Ba  0.500  0.500  0.500
Zr  0.000  0.000  0.500
Zr  0.500  0.500  0.000
Cu  0.000  0.500  0.195
Cu  0.000  0.500  0.805
Cu  0.500  0.000  0.305
Cu  0.500  0.000  0.695

* E_tot: -4.24 eV/atom
* space-group type: No. 71
* E_form: 0.423 eV per atom

(10)
Computed, not measured: a relaxed BaZrCu2 crystal at the GGA-PBE level of DFT.

Unit cell a=3.627 b=4.217 c=6.750 alpha=90.00 beta=105.12 gamma=90.00
Element x y z (fractional)
Ba  0.000  0.000  0.000
Zr  0.271  0.500  0.555
Cu  0.625  0.500  0.256
Cu  0.734  0.000  0.482

* E_tot: -4.45 eV/atom
* space-group type: No. 6
* E_form: 0.219 eV per atom

(11)
Computed, not measured: a relaxed BaZrCu2 crystal at the GGA-PBE level of DFT.

Unit cell a=4.393 b=4.393 c=18.817 alpha=90.00 beta=90.00 gamma=120.00
Element x y z (fractional)
Ba  0.000  0.000  0.000
Ba  0.333  0.667  0.667
Ba  0.667  0.333  0.333
Zr  0.000  0.000  0.817
Zr  0.333  0.667  0.484
Zr  0.667  0.333  0.151
Cu  0.000  0.000  0.203
Cu  0.000  0.000  0.533
Cu  0.333  0.667  0.200
Cu  0.333  0.667  0.869
Cu  0.667  0.333  0.536
Cu  0.667  0.333  0.866

* E_tot: -4.52 eV/atom
* space-group type: No. 160
* E_form: 0.147 eV per atom

(12)
Computed, not measured: a relaxed BaZr2Cu2 crystal at the GGA-PBE level of DFT.

Unit cell a=8.428 b=8.428 c=3.073 alpha=90.00 beta=90.00 gamma=90.00
Element x y z (fractional)
Ba  0.000  0.000  0.000
Ba  0.500  0.500  0.000
Zr  0.127  0.373  0.000
Zr  0.373  0.873  0.000
Zr  0.627  0.127  0.000
Zr  0.873  0.627  0.000
Cu  0.164  0.664  0.500
Cu  0.336  0.164  0.500
Cu  0.664  0.836  0.500
Cu  0.836  0.336  0.500

* E_tot: -5.18 eV/atom
* space-group type: No. 127
* E_form: 0.261 eV per atom

(13)
Computed, not measured: a relaxed BaZrCu2 crystal at the GGA-PBE level of DFT.

Unit cell a=3.489 b=3.489 c=7.518 alpha=90.00 beta=90.00 gamma=90.00
Element x y z (fractional)
Ba  0.000  0.000  0.000
Zr  0.000  0.000  0.500
Cu  0.500  0.500  0.325
Cu  0.500  0.500  0.675

* E_tot: -4.61 eV/atom
* space-group type: No. 123
* E_form: 0.056 eV per atom

(14)
Computed, not measured: a relaxed BaZrCu2 crystal at the GGA-PBE level of DFT.

Unit cell a=7.932 b=4.577 c=6.455 alpha=90.00 beta=114.10 gamma=90.00
Element x y z (fractional)
Ba  0.000  0.000  0.000
Ba  0.500  0.500  0.000
Zr  0.000  0.500  0.500
Zr  0.500  0.000  0.500
Cu  0.187  0.000  0.561
Cu  0.313  0.500  0.439
Cu  0.687  0.500  0.561
Cu  0.813  0.000  0.439

* E_tot: -4.57 eV/atom
* space-group type: No. 12
* E_form: 0.099 eV per atom

(15)
Computed, not measured: a relaxed BaZr2Cu2 crystal at the GGA-PBE level of DFT.

Unit cell a=8.218 b=8.218 c=3.283 alpha=90.00 beta=90.00 gamma=90.00
Element x y z (fractional)
Ba  0.000  0.000  0.000
Ba  0.500  0.500  0.000
Zr  0.158  0.342  0.500
Zr  0.342  0.842  0.500
Zr  0.658  0.158  0.500
Zr  0.842  0.658  0.500
Cu  0.119  0.619  0.000
Cu  0.381  0.119  0.000
Cu  0.619  0.881  0.000
Cu  0.881  0.381  0.000

* E_tot: -5.10 eV/atom
* space-group type: No. 127
* E_form: 0.342 eV per atom

(16)
Computed, not measured: a relaxed BaZrCu2 crystal at the GGA-PBE level of DFT.

Unit cell a=5.198 b=5.198 c=3.295 alpha=90.00 beta=90.00 gamma=90.00
Element x y z (fractional)
Ba  0.000  0.000  0.000
Zr  0.500  0.500  0.000
Cu  0.000  0.500  0.500
Cu  0.500  0.000  0.500

* E_tot: -4.36 eV/atom
* space-group type: No. 123
* E_form: 0.302 eV per atom

(17)
Computed, not measured: a relaxed BaZr3Cu crystal at the GGA-PBE level of DFT.

Unit cell a=5.268 b=5.268 c=5.268 alpha=90.00 beta=90.00 gamma=90.00
Element x y z (fractional)
Ba  0.000  0.000  0.000
Zr  0.000  0.000  0.500
Zr  0.000  0.500  0.000
Zr  0.500  0.000  0.000
Cu  0.500  0.500  0.500

* E_tot: -4.33 eV/atom
* space-group type: No. 221
* E_form: 2.008 eV per atom

(18)
Computed, not measured: a relaxed Ba4ZrCu crystal at the GGA-PBE level of DFT.

Unit cell a=7.228 b=7.228 c=7.228 alpha=60.00 beta=60.00 gamma=60.00
Element x y z (fractional)
Ba  0.125  0.125  0.125
Ba  0.125  0.125  0.624
Ba  0.125  0.624  0.125
Ba  0.624  0.125  0.125
Zr  0.500  0.500  0.500
Cu  0.750  0.750  0.750

* E_tot: -2.40 eV/atom
* space-group type: No. 216
* E_form: 0.988 eV per atom

(19)
Computed, not measured: a relaxed BaZrCu2 crystal at the GGA-PBE level of DFT.

Unit cell a=3.235 b=5.009 c=10.739 alpha=90.00 beta=90.00 gamma=90.00
Element x y z (fractional)
Ba  0.000  0.000  0.000
Ba  0.500  0.500  0.500
Zr  0.000  0.500  0.201
Zr  0.500  0.000  0.701
Cu  0.000  0.000  0.448
Cu  0.000  0.500  0.769
Cu  0.500  0.000  0.269
Cu  0.500  0.500  0.948

* E_tot: -4.28 eV/atom
* space-group type: No. 44
* E_form: 0.385 eV per atom

(20)
Computed, not measured: a relaxed BaZrCu2 crystal at the GGA-PBE level of DFT.

Unit cell a=3.335 b=3.393 c=8.072 alpha=90.00 beta=90.00 gamma=90.00
Element x y z (fractional)
Ba  0.000  0.000  0.000
Zr  0.500  0.500  0.618
Cu  0.000  0.000  0.425
Cu  0.500  0.500  0.290

* E_tot: -4.40 eV/atom
* space-group type: No. 25
* E_form: 0.267 eV per atom